RuPtRh2: relaxed, PBEsol.

Structure (POSCAR):
```
RuPtRh2
1.0
2.681 0.000 0.000
0.000 2.681 0.000
0.000 0.000 7.653
Ru Rh Pt
1 2 1
Cartesian
0.000 0.000 3.772
0.000 0.000 0.047
1.340 1.340 1.948
1.340 1.340 5.712
```

ΔE_f (eV per atom): 0.001
Total energy (eV/cell): -33.41
Polymorph energy (0 for the lowest one) (meV per atom): 36
Space-group type: P4mm, No. 99

RuPtRh2: relaxed, PBEsol.

Structure (POSCAR):
```
RuPtRh2
1.0
2.687 0.000 0.000
1.343 2.327 0.000
1.343 0.776 8.808
Ru Rh Pt
1 2 1
Cartesian
2.687 1.551 4.464
1.343 0.776 8.760
4.030 2.327 6.569
1.343 0.776 2.226
```

ΔE_f (eV per atom): 0.018
Total energy (eV/cell): -33.34
Polymorph energy (0 for the lowest one) (meV per atom): 53
Space-group type: R3m, No. 160

RuPtRh2: relaxed, PBEsol.

Structure (POSCAR):
```
RuPtRh2
1.0
3.793 0.000 0.000
0.000 3.793 0.000
-1.897 -1.897 3.824
Ru Rh Pt
1 2 1
Cartesian
1.897 1.897 0.000
0.000 0.000 0.000
1.897 0.000 1.912
0.000 1.897 1.912
```

ΔE_f (eV per atom): 0.005
Total energy (eV/cell): -33.39
Polymorph energy (0 for the lowest one) (meV per atom): 40
Space-group type: I-4m2, No. 119

RuPtRh2: relaxed, PBEsol.

Structure (POSCAR):
```
RuPtRh2
1.0
-1.718 0.502 3.349
0.004 -3.755 0.565
4.260 1.887 -0.250
Ru Rh Pt
1 2 1
Cartesian
0.000 0.000 0.000
0.842 0.381 2.528
1.703 -1.748 1.136
-0.857 -1.627 1.957
```

ΔE_f (eV per atom): -0.008
Total energy (eV/cell): -33.45
Polymorph energy (0 for the lowest one) (meV per atom): 27
Space-group type: I4/mmm, No. 139

RuPtRh: relaxed, PBEsol.

Structure (POSCAR):
```
RuPtRh
1.0
2.696 0.000 0.000
-1.348 2.335 0.000
0.000 0.000 6.630
Ru Rh Pt
1 1 1
Cartesian
0.000 1.556 2.262
1.348 0.778 4.348
0.000 0.000 0.020
```

ΔE_f (eV per atom): 0.008
Total energy (eV/cell): -25.25
Polymorph energy (0 for the lowest one) (meV per atom): 39
Space-group type: P3m1, No. 156

RuPtRh2: relaxed, PBEsol.

Structure (POSCAR):
```
RuPtRh2
1.0
2.685 0.000 0.000
0.000 4.671 -0.007
0.000 -1.573 4.396
Ru Rh Pt
1 2 1
Cartesian
1.342 -0.786 2.198
0.000 0.000 0.000
1.342 2.335 -0.003
0.000 1.549 2.195
```

ΔE_f (eV per atom): 0.031
Total energy (eV/cell): -33.29
Polymorph energy (0 for the lowest one) (meV per atom): 66
Space-group type: P2/m, No. 10

RuPtRh: relaxed, PBEsol.

Structure (POSCAR):
```
RuPtRh
1.0
-1.207 -3.306 2.167
1.789 -0.861 3.624
-2.113 0.494 3.517
Pt Rh Ru
1 1 1
Cartesian
-0.383 -0.918 2.327
0.000 0.000 0.000
-0.765 -1.836 4.654
```

ΔE_f (eV per atom): 0.752
Total energy (eV/cell): -23.02
Polymorph energy (0 for the lowest one) (meV per atom): 782
Space-group type: F-43m, No. 216

Ru2PtRh: relaxed, PBEsol.

Structure (POSCAR):
```
Ru2PtRh
1.0
2.673 0.000 0.000
0.000 4.680 -0.003
0.000 -1.630 4.387
Ru Rh Pt
2 1 1
Cartesian
0.000 2.340 -0.002
0.000 -0.815 2.193
1.337 1.525 2.192
1.337 0.000 0.000
```

ΔE_f (eV per atom): 0.063
Total energy (eV/cell): -35.20
Polymorph energy (0 for the lowest one) (meV per atom): 64
Space-group type: Cmmm, No. 65

Ru2PtRh: relaxed, PBEsol.

Structure (POSCAR):
```
Ru2PtRh
1.0
2.680 0.000 0.000
0.000 2.680 0.000
0.000 0.000 7.643
Ru Rh Pt
2 1 1
Cartesian
0.000 0.000 0.024
1.340 1.340 1.836
1.340 1.340 5.806
0.000 0.000 3.798
```

ΔE_f (eV per atom): -0.002
Total energy (eV/cell): -35.45
Polymorph energy (0 for the lowest one) (meV per atom): 0
Space-group type: P4mm, No. 99

Ru2PtRh: relaxed, PBEsol.

Structure (POSCAR):
```
Ru2PtRh
1.0
2.684 0.000 0.000
0.000 3.787 0.000
0.000 0.000 5.403
Ru Rh Pt
2 1 1
Cartesian
0.000 0.000 0.030
1.342 1.894 1.289
1.342 1.894 4.090
0.000 0.000 2.697
```

ΔE_f (eV per atom): 0.009
Total energy (eV/cell): -35.41
Polymorph energy (0 for the lowest one) (meV per atom): 10
Space-group type: Pmm2, No. 25

> polymorph energy (0 for the lowest one) of number 5 (RuPtRh)?

39 meV per atom